## NbFe3Ni2P6O24 (PBE with a Hubbard U)

Data for a relaxed NbFe3Ni2P6O24 crystal.

Computed properties:
The calculation puts the magnetic moment at 19.16 μB/f.u. Its space group is R3. The total DFT energy (no corrections) comes out at -7.103 eV per atom. The calculation puts the density of states at the Fermi level at 0.00 states/eV/atom.

Lattice parameters (Å, degrees): 8.5418 8.5418 8.5418 60.91 60.91 60.91
With the nearest neighbours (Å) after each atom.
Element x y z (fractional)
Nb 0.0000 0.0000 0.0000  6 O 1.94-2.07
Fe 0.2139 0.2139 0.2139  6 O 1.95-2.07
Fe 0.5004 0.5004 0.5004  6 O 1.94-2.10
Fe 0.7112 0.7112 0.7112  6 O 1.93-2.10
Ni 0.3560 0.3560 0.3560  6 O 2.15-2.16
Ni 0.8528 0.8528 0.8528  6 O 2.11-2.24
P 0.1100 0.4095 0.8094  4 O 1.51-1.59
P 0.3164 0.9009 0.6018  4 O 1.52-1.60
P 0.4095 0.8094 0.1100  4 O 1.51-1.59
P 0.6018 0.3164 0.9009  4 O 1.52-1.60
P 0.8094 0.1100 0.4095  4 O 1.51-1.59
P 0.9009 0.6018 0.3164  4 O 1.52-1.60
O 0.0372 0.2447 0.8639  1 P 1.59
O 0.0993 0.4464 0.3006  1 P 1.55
O 0.1126 0.9214 0.7632  1 P 1.60
O 0.1757 0.3618 0.9676  1 P 1.51
O 0.2447 0.8639 0.0372  1 P 1.59
O 0.2654 0.4111 0.6140  1 P 1.55
O 0.3006 0.0993 0.4464  1 P 1.55
O 0.3497 0.7445 0.5406  1 P 1.52
O 0.3618 0.9676 0.1757  1 P 1.51
O 0.4111 0.6140 0.2654  1 P 1.55
O 0.4464 0.3006 0.0993  1 P 1.55
O 0.4642 0.8565 0.6809  1 P 1.52
O 0.5406 0.3497 0.7445  1 P 1.52
O 0.6023 0.7947 0.9481  1 P 1.55
O 0.6140 0.2654 0.4111  1 P 1.55
O 0.6809 0.4642 0.8565  1 P 1.52
O 0.7445 0.5406 0.3497  1 P 1.52
O 0.7632 0.1126 0.9214  1 P 1.60
O 0.7947 0.9481 0.6023  1 P 1.55
O 0.8565 0.6809 0.4642  1 P 1.52
O 0.8639 0.0372 0.2447  1 P 1.59
O 0.9214 0.7632 0.1126  1 P 1.60
O 0.9481 0.6023 0.7947  1 P 1.55
O 0.9676 0.1757 0.3618  1 P 1.51